No. 1
Density functional theory data (PBE) for a relaxed structure of VMoPd.

Calculated values
Its space-group type is P4/nmm (129). Its total energy is -8.53 eV/atom. As for the crystal system: tetragonal. Its magnetization is 0.00 μB per formula unit. Its formation energy is -154 meV per atom.

Structure (extended XYZ):
```
6
Lattice="-2.582 -1.245 1.270 1.768 -1.550 2.075 -0.571 7.038 5.741" Properties=species:S:1:pos:R:3 pbc="T T T"
V -1.640 0.476 2.935
V 0.255 3.768 6.150
Mo 0.631 -0.873 2.363
Mo -2.017 5.117 6.723
Pd -1.835 2.872 4.892
Pd 0.449 1.372 4.194
```

---

No. 2
Density functional theory data (PBE) for a relaxed structure of VMo3Pd.

Calculated values
Its space-group type is Pm-3m (221). Its total energy is -8.16 eV/atom. As for the crystal system: cubic. Its magnetization is 0.00 μB per formula unit. Its formation energy is 1206 meV per atom.

Structure (extended XYZ):
```
5
Lattice="4.466 0.000 0.000 0.000 4.466 0.000 0.000 0.000 4.466" Properties=species:S:1:pos:R:3 pbc="T T T"
Mo 0.000 2.233 0.000
Mo 0.000 0.000 2.233
Mo 2.233 0.000 0.000
Pd 2.233 2.233 2.233
V 0.000 0.000 0.000
```

---

No. 3
Density functional theory data (PBE) for a relaxed structure of V2MoPd9.

Calculated values
Its space-group type is P4/mmm (123). Its total energy is -6.46 eV/atom. As for the crystal system: tetragonal. Its magnetization is 4.62 μB per formula unit. Its formation energy is -142 meV per atom.

Structure (extended XYZ):
```
12
Lattice="-3.392 1.015 -1.685 1.455 -0.966 -3.510 -3.972 -10.988 1.377" Properties=species:S:1:pos:R:3 pbc="T T T"
V -1.341 -3.709 0.465
V -2.631 -7.279 0.912
Mo 0.000 0.000 0.000
Pd -0.968 0.024 -2.598
Pd -2.293 -3.640 -2.139
Pd -3.615 -7.299 -1.680
Pd -2.359 -1.326 -0.613
Pd -3.682 -4.987 -0.154
Pd -5.005 -8.647 0.304
Pd 0.065 -2.317 -1.525
Pd -1.258 -5.977 -1.067
Pd -2.582 -9.637 -0.608
```

---

No. 4
Density functional theory data (PBE) for a relaxed structure of YVMo2Pd.

Calculated values
Its space-group type is P4/mmm (123). Its total energy is -7.22 eV/atom. As for the crystal system: tetragonal. Its magnetization is 0.00 μB per formula unit. Its formation energy is 1270 meV per atom.

Structure (extended XYZ):
```
5
Lattice="4.868 0.000 0.000 0.000 4.582 0.000 0.000 0.000 4.868" Properties=species:S:1:pos:R:3 pbc="T T T"
Y 2.434 2.291 2.434
Mo 0.000 0.000 2.434
Mo 2.434 0.000 0.000
Pd 0.000 0.000 0.000
V 0.000 2.291 0.000
```

---

No. 5
Density functional theory data (PBE) for a relaxed structure of VZnMo2Pd.

Calculated values
Its space-group type is P4/mmm (123). Its total energy is -6.30 eV/atom. As for the crystal system: tetragonal. Its magnetization is 0.00 μB per formula unit. Its formation energy is 1150 meV per atom.

Structure (extended XYZ):
```
5
Lattice="4.422 0.000 0.000 0.000 4.670 0.000 0.000 0.000 4.422" Properties=species:S:1:pos:R:3 pbc="T T T"
Mo 0.000 0.000 2.211
Mo 2.211 0.000 0.000
Zn 0.000 2.335 0.000
Pd 2.211 2.335 2.211
V 0.000 0.000 0.000
```

---

No. 6
Density functional theory data (PBE) for a relaxed structure of MoPd2W.

Calculated values
Its space-group type is I-42d (122). Its total energy is -7.86 eV/atom. As for the crystal system: tetragonal. Its magnetization is 0.00 μB per formula unit. Its formation energy is 682 meV per atom.

Structure (extended XYZ):
```
8
Lattice="7.157 0.000 0.000 0.000 7.157 0.000 3.579 3.579 2.632" Properties=species:S:1:pos:R:3 pbc="T T T"
Mo 3.579 3.579 0.000
Mo 3.579 7.157 1.316
Pd 5.420 1.789 0.658
Pd 1.737 5.368 0.658
Pd 5.368 5.316 1.974
Pd 8.947 8.999 1.974
W 0.000 0.000 0.000
W 7.157 3.579 1.316
```

---

No. 7
Density functional theory data (PBE) for a relaxed structure of MoPd3W.

Calculated values
Its space-group type is Pm-3m (221). Its total energy is -6.15 eV/atom. As for the crystal system: cubic. Its magnetization is 0.00 μB per formula unit. Its formation energy is 1722 meV per atom.

Structure (extended XYZ):
```
5
Lattice="-2.965 0.441 -3.652 0.294 -4.647 -0.800 -3.667 -0.729 2.889" Properties=species:S:1:pos:R:3 pbc="T T T"
Mo -3.169 -2.468 -0.781
Pd 0.147 -2.324 -0.400
Pd -1.833 -0.365 1.445
Pd -1.483 0.221 -1.826
W 0.000 0.000 0.000
```

---

No. 8
Density functional theory data (PBE) for a relaxed structure of MoPd6W.

Calculated values
Its space-group type is Amm2 (38). Its total energy is -6.87 eV/atom. As for the crystal system: orthorhombic. Its magnetization is 0.00 μB per formula unit. Its formation energy is 1 meV per atom.

Structure (extended XYZ):
```
8
Lattice="-3.730 2.465 0.430 -3.073 -4.542 -0.621 1.620 1.545 5.202" Properties=species:S:1:pos:R:3 pbc="T T T"
Mo -3.374 -1.280 1.529
Pd -2.280 -3.511 0.343
Pd -0.765 -1.271 0.649
Pd 0.056 -0.480 3.236
Pd -2.575 -0.527 4.142
Pd -1.015 1.779 4.457
Pd -1.837 0.987 1.867
W -1.480 -2.757 2.963
```

---

No. 9
Density functional theory data (PBE) for a relaxed structure of MoPd4W.

Calculated values
Its space-group type is P4/mmm (123). Its total energy is -7.50 eV/atom. As for the crystal system: tetragonal. Its magnetization is 0.00 μB per formula unit. Its formation energy is -71 meV per atom.

Structure (extended XYZ):
```
6
Lattice="2.776 0.000 0.000 0.000 2.776 -0.003 0.000 0.015 11.986" Properties=species:S:1:pos:R:3 pbc="T T T"
Mo 0.000 0.000 0.000
Pd 0.000 2.785 7.932
Pd 1.388 1.400 10.041
Pd 1.388 1.391 1.942
Pd 0.000 0.006 4.051
W 1.388 1.395 5.992
```

---

No. 10
Density functional theory data (PBE) for a relaxed structure of Mo2PdW.

Calculated values
Its space-group type is Fm-3m (225). Its total energy is -9.67 eV/atom. As for the crystal system: cubic. Its magnetization is 0.00 μB per formula unit. Its formation energy is 280 meV per atom.

Structure (extended XYZ):
```
4
Lattice="0.000 3.170 3.170 3.170 0.000 3.170 3.170 3.170 0.000" Properties=species:S:1:pos:R:3 pbc="T T T"
Mo 1.585 1.585 1.585
Mo 4.755 4.755 4.755
Pd 0.000 0.000 0.000
W 3.170 3.170 3.170
```

---

No. 11
Density functional theory data (PBE) for a relaxed structure of MoPd2W.

Calculated values
Its space-group type is Fm-3m (225). Its total energy is -8.02 eV/atom. As for the crystal system: cubic. Its magnetization is 0.00 μB per formula unit. Its formation energy is 521 meV per atom.

Structure (extended XYZ):
```
4
Lattice="-0.498 2.648 3.572 -2.569 3.654 -0.264 -3.920 0.139 2.153" Properties=species:S:1:pos:R:3 pbc="T T T"
Mo 0.000 0.000 0.000
Pd -1.747 1.610 1.365
Pd -5.240 4.831 4.096
W -3.494 3.221 2.731
```

---

No. 12
Density functional theory data (PBE) for a relaxed structure of MoPd2W.

Calculated values
Its space-group type is R-3m (166). Its total energy is -8.42 eV/atom. As for the crystal system: trigonal. Its magnetization is 0.00 μB per formula unit. Its formation energy is 120 meV per atom.

Structure (extended XYZ):
```
4
Lattice="2.781 0.000 0.000 1.390 2.408 0.000 1.390 0.803 9.270" Properties=species:S:1:pos:R:3 pbc="T T T"
Mo 0.000 0.000 0.000
Pd 4.171 2.408 6.950
Pd 1.391 0.803 2.320
W 2.781 1.606 4.635
```

---

No. 13
Density functional theory data (PBE) for a relaxed structure of Mo2PdW.

Calculated values
Its space-group type is P4/mmm (123). Its total energy is -9.82 eV/atom. As for the crystal system: tetragonal. Its magnetization is 0.00 μB per formula unit. Its formation energy is 133 meV per atom.

Structure (extended XYZ):
```
4
Lattice="-2.575 -1.345 -2.739 3.006 -0.709 -2.478 0.349 -3.660 1.470" Properties=species:S:1:pos:R:3 pbc="T T T"
Mo 0.174 -1.830 0.735
Mo 1.503 -0.354 -1.239
Pd 0.390 -2.857 -1.873
W -1.287 -0.673 -1.369
```

---

No. 14
Density functional theory data (PBE) for a relaxed structure of Mo2PdW.

Calculated values
Its space-group type is I-42d (122). Its total energy is -9.14 eV/atom. As for the crystal system: tetragonal. Its magnetization is 0.00 μB per formula unit. Its formation energy is 812 meV per atom.

Structure (extended XYZ):
```
8
Lattice="3.791 0.000 0.000 0.000 3.791 0.000 1.896 1.896 9.515" Properties=species:S:1:pos:R:3 pbc="T T T"
Mo 2.912 0.948 2.379
Mo 0.879 2.844 2.379
Mo 2.844 2.775 7.136
Mo 4.739 4.808 7.136
Pd 1.896 1.896 0.000
Pd 1.896 3.791 4.757
W 0.000 0.000 0.000
W 3.791 1.896 4.757
```

---

No. 15
Density functional theory data (PBE) for a relaxed structure of YMo2Pd.

Calculated values
Its space-group type is I-42d (122). Its total energy is -7.77 eV/atom. As for the crystal system: tetragonal. Its magnetization is 0.00 μB per formula unit. Its formation energy is 557 meV per atom.

Structure (extended XYZ):
```
8
Lattice="7.898 0.000 0.000 0.000 7.898 0.000 3.949 3.949 2.573" Properties=species:S:1:pos:R:3 pbc="T T T"
Y 3.949 3.949 0.000
Y 3.949 7.898 1.286
Mo 6.238 1.975 0.643
Mo 1.661 5.924 0.643
Mo 5.924 5.610 1.929
Mo 9.873 10.187 1.929
Pd 0.000 0.000 0.000
Pd 7.898 3.949 1.286
```

---

No. 16
Density functional theory data (PBE) for a relaxed structure of YMo2Pd.

Calculated values
Its space-group type is Fm-3m (225). Its total energy is -7.77 eV/atom. As for the crystal system: cubic. Its magnetization is 0.00 μB per formula unit. Its formation energy is 563 meV per atom.

Structure (extended XYZ):
```
4
Lattice="0.000 3.290 3.290 3.290 0.000 3.290 3.290 3.290 0.000" Properties=species:S:1:pos:R:3 pbc="T T T"
Y 0.000 0.000 0.000
Mo 1.645 1.645 1.645
Mo 4.934 4.934 4.934
Pd 3.290 3.290 3.290
```

---

No. 17
Density functional theory data (PBE) for a relaxed structure of YMoPd2.

Calculated values
Its space-group type is Fm-3m (225). Its total energy is -7.02 eV/atom. As for the crystal system: cubic. Its magnetization is 2.99 μB per formula unit. Its formation energy is -101 meV per atom.

Structure (extended XYZ):
```
4
Lattice="-1.198 -4.426 -1.250 -1.297 -3.140 3.324 -4.528 -1.410 0.299" Properties=species:S:1:pos:R:3 pbc="T T T"
Y 0.000 0.000 0.000
Mo -3.512 -4.488 1.186
Pd -1.756 -2.244 0.593
Pd -5.267 -6.732 1.779
```

---

No. 18
Density functional theory data (PBE) for a relaxed structure of YMoPd2.

Calculated values
Its space-group type is I-42d (122). Its total energy is -6.62 eV/atom. As for the crystal system: tetragonal. Its magnetization is 0.00 μB per formula unit. Its formation energy is 299 meV per atom.

Structure (extended XYZ):
```
8
Lattice="-2.867 2.571 1.573 -2.738 -1.313 -2.844 -5.599 -6.016 5.126" Properties=species:S:1:pos:R:3 pbc="T T T"
Y -2.803 0.629 -0.635
Y -5.570 -3.350 0.824
Mo 0.000 0.000 0.000
Mo -5.634 -1.408 3.032
Pd -3.614 0.011 1.954
Pd -3.389 -2.075 -0.343
Pd -6.224 -4.004 3.448
Pd -9.180 -3.449 2.654
```

---

No. 19
Density functional theory data (PBE) for a relaxed structure of YMo3Pd.

Calculated values
Its space-group type is Pm-3m (221). Its total energy is -6.36 eV/atom. As for the crystal system: cubic. Its magnetization is 0.00 μB per formula unit. Its formation energy is 2471 meV per atom.

Structure (extended XYZ):
```
5
Lattice="4.743 0.000 0.000 0.000 4.743 0.000 0.000 0.000 4.743" Properties=species:S:1:pos:R:3 pbc="T T T"
Y 0.000 0.000 0.000
Mo 0.000 2.371 0.000
Mo 0.000 0.000 2.371
Mo 2.371 0.000 0.000
Pd 2.371 2.371 2.371
```

---

No. 20
Density functional theory data (PBE) for a relaxed structure of Y2MoPd.

Calculated values
Its space-group type is Fm-3m (225). Its total energy is -7.28 eV/atom. As for the crystal system: cubic. Its magnetization is 0.08 μB per formula unit. Its formation energy is -37 meV per atom.

Structure (extended XYZ):
```
4
Lattice="0.000 3.506 3.506 3.506 0.000 3.506 3.506 3.506 0.000" Properties=species:S:1:pos:R:3 pbc="T T T"
Y 1.753 1.753 1.753
Y 5.259 5.259 5.259
Mo 0.000 0.000 0.000
Pd 3.506 3.506 3.506
```